Below is a geometry-optimized Y3Er3Pd2 structure, with properties calculated at the PBE level.

For the density of states at the Fermi level, the calculation gives 20.81 states/eV per cell. The calculation puts the volume at 27.6 Å³ per atom. Its total energy is -5.833 eV per atom.

abc: 6.4690 6.4690 15.0868
angles: 90.00 90.00 135.72
Closest atoms and distances in Å follow each position.
Sites, in units of the cell vectors:
Y 0.0396 0.9604 0.3794  1 Pd 2.84
Y 0.9604 0.0396 0.8794  1 Pd 2.84
Y 0.0396 0.9604 0.1206  1 Pd 2.84
Y 0.9604 0.0396 0.6206  1 Pd 2.84
Y 0.3503 0.6497 0.2500  4 Pd 3.21, 5 Er 3.43-3.53
Y 0.6497 0.3503 0.7500  4 Pd 3.21, 5 Er 3.43-3.53
Er 0.3515 0.6485 0.4776  3 Pd 2.80-2.88
Er 0.6485 0.3515 0.9776  3 Pd 2.80-2.88
Er 0.3515 0.6485 0.0224  3 Pd 2.80-2.88
Er 0.6485 0.3515 0.5224  3 Pd 2.80-2.88
Er 0.6447 0.3553 0.2500  2 Pd 2.76
Er 0.3553 0.6447 0.7500  2 Pd 2.76
Pd 0.1972 0.8028 0.8831  4 Er 2.76-2.88, 1 Y 2.84
Pd 0.8028 0.1972 0.3831  4 Er 2.76-2.88, 1 Y 2.84
Pd 0.1972 0.8028 0.6169  4 Er 2.76-2.88, 1 Y 2.84
Pd 0.8028 0.1972 0.1169  4 Er 2.76-2.88, 1 Y 2.84